(1)
An optimized crystal structure of Li4Fe3Ni2Sb3O16. Source: Alexandria, functional GGA+U. Values from VASP.

Results
The value obtained for the total energy is -164.103 eV for the cell shown. The value obtained for the volume is 317.9 Å³/cell. The density of states at the Fermi level is 0.19 states/eV per cell.

Quantum ESPRESSO input file:
```
&SYSTEM
  ibrav = 0, nat = 28, ntyp = 5
/
ATOMIC_SPECIES
Fe 55.84 Fe.upf
Ni 58.69 Ni.upf
O 16.00 O.upf
Sb 121.76 Sb.upf
Li 6.94 Li.upf
CELL_PARAMETERS angstrom
6.120 0.010 0.023
3.076 5.290 0.023
0.133 0.077 9.831
ATOMIC_POSITIONS angstrom
Fe 7.724 4.452 7.725
Fe 3.148 3.546 2.825
Fe 4.646 0.947 2.825
Ni 6.270 3.614 4.841
Ni 3.183 1.835 0.273
O 7.564 2.752 6.627
O 4.796 0.919 8.801
O 3.199 3.690 8.801
O 1.741 2.569 1.610
O 3.096 0.219 1.610
O 0.108 0.062 1.842
O 6.192 3.569 8.859
O 3.107 1.791 3.926
O 7.811 4.503 3.933
O 0.099 0.057 6.675
O 4.639 4.538 3.947
O 1.501 0.865 8.819
O 6.252 1.741 3.947
O 6.172 5.166 6.627
O 4.483 2.584 1.659
O 4.802 2.768 6.593
Sb 6.207 1.840 7.740
Sb 1.638 0.944 2.806
Sb 4.703 4.450 7.740
Li 9.209 5.308 4.898
Li 9.037 5.209 0.145
Li 3.078 1.774 5.897
Li 6.134 3.536 1.306
```

(2)
An optimized crystal structure of Li4Fe3Ni2Sn3O16. Source: Alexandria, functional GGA+U. Values from VASP.

Results
The value obtained for the total energy is -158.332 eV for the cell shown. The value obtained for the volume is 304.4 Å³/cell.

Quantum ESPRESSO input file:
```
&SYSTEM
  ibrav = 0, nat = 28, ntyp = 5
/
ATOMIC_SPECIES
Sn 118.71 Sn.upf
Ni 58.69 Ni.upf
O 16.00 O.upf
Li 6.94 Li.upf
Fe 55.84 Fe.upf
CELL_PARAMETERS angstrom
3.012 5.204 -0.026
-3.012 5.204 -0.026
0.000 0.140 9.711
ATOMIC_POSITIONS angstrom
Sn 1.490 4.418 7.609
Sn 0.000 8.677 2.739
Sn -1.490 4.418 7.609
Ni 0.000 3.555 4.905
Ni 0.000 6.927 0.098
O -1.323 2.694 6.434
O 0.000 1.729 3.699
O 0.000 3.469 8.739
O 0.000 5.399 1.686
O 0.000 6.862 3.771
O 1.595 6.243 8.653
O 1.557 4.540 3.835
O 1.323 2.694 6.434
O -1.379 7.609 1.582
O 0.000 5.104 6.357
O -1.557 4.540 3.835
O -1.595 6.243 8.653
O 1.379 7.609 1.582
O 0.000 0.122 1.838
O 0.000 0.201 6.609
O 0.000 8.919 8.806
Li 0.000 3.388 1.123
Li 0.000 0.218 0.058
Li 0.000 0.248 4.829
Li 0.000 6.950 5.836
Fe 1.484 6.107 2.733
Fe -1.484 6.107 2.733
Fe 0.000 1.859 7.605
```

Q: Which formula does entry 2 have?
A: Li4Fe3Ni2Sn3O16

Q: What is the formula in the second record?
A: Li4Fe3Ni2Sn3O16

Please write out number 1 again, unchanged.
An optimized crystal structure of Li4Fe3Ni2Sb3O16. Source: Alexandria, functional GGA+U. Values from VASP.

Results
The value obtained for the total energy is -164.103 eV for the cell shown. The value obtained for the volume is 317.9 Å³/cell. The density of states at the Fermi level is 0.19 states/eV per cell.

Quantum ESPRESSO input file:
```
&SYSTEM
  ibrav = 0, nat = 28, ntyp = 5
/
ATOMIC_SPECIES
Fe 55.84 Fe.upf
Ni 58.69 Ni.upf
O 16.00 O.upf
Sb 121.76 Sb.upf
Li 6.94 Li.upf
CELL_PARAMETERS angstrom
6.120 0.010 0.023
3.076 5.290 0.023
0.133 0.077 9.831
ATOMIC_POSITIONS angstrom
Fe 7.724 4.452 7.725
Fe 3.148 3.546 2.825
Fe 4.646 0.947 2.825
Ni 6.270 3.614 4.841
Ni 3.183 1.835 0.273
O 7.564 2.752 6.627
O 4.796 0.919 8.801
O 3.199 3.690 8.801
O 1.741 2.569 1.610
O 3.096 0.219 1.610
O 0.108 0.062 1.842
O 6.192 3.569 8.859
O 3.107 1.791 3.926
O 7.811 4.503 3.933
O 0.099 0.057 6.675
O 4.639 4.538 3.947
O 1.501 0.865 8.819
O 6.252 1.741 3.947
O 6.172 5.166 6.627
O 4.483 2.584 1.659
O 4.802 2.768 6.593
Sb 6.207 1.840 7.740
Sb 1.638 0.944 2.806
Sb 4.703 4.450 7.740
Li 9.209 5.308 4.898
Li 9.037 5.209 0.145
Li 3.078 1.774 5.897
Li 6.134 3.536 1.306
```